Model a:
A geometry-optimized Cs2GeAu2 structure, computed with GGA-PBE.

Cell: 6.896 8.155 9.295 Å, 78.96 68.23 64.99°
Element x y z (fractional)
Ge: 0.669 0.855 0.806
Ge: 0.331 0.145 0.194
Au: 0.884 0.648 0.585
Au: 0.463 0.173 0.901
Au: 0.537 0.827 0.099
Au: 0.116 0.352 0.415
Cs: 0.324 0.806 0.545
Cs: 0.112 0.674 0.102
Cs: 0.888 0.326 0.898
Cs: 0.676 0.194 0.455

Results
- N(E_F) (states/eV/cell) = 3.0
- space group = No. 12


Model b:
A geometry-optimized Cs2GeAu2 structure, computed with GGA-PBE.

Cell: 7.502 7.502 6.017 Å, 90.00 90.00 90.00°
Element x y z (fractional)
Au: 0.692 0.192 0.000
Au: 0.192 0.308 0.000
Au: 0.308 0.808 0.000
Au: 0.808 0.692 0.000
Cs: 0.666 0.834 0.500
Cs: 0.166 0.666 0.500
Cs: 0.334 0.166 0.500
Cs: 0.834 0.334 0.500
Ge: 0.000 0.000 0.000
Ge: 0.500 0.500 0.000

Results
- N(E_F) (states/eV/cell) = 3.0
- space group = No. 127


It is model a that is the most stable of them.


Model a:
A geometry-optimized CsGeAu2 structure, computed with GGA-PBE.

Cell: 4.711 8.604 12.253 Å, 90.00 90.00 90.00°
Element x y z (fractional)
Au: 0.250 0.352 0.278
Au: 0.250 0.952 0.560
Au: 0.750 0.148 0.778
Au: 0.250 0.852 0.222
Au: 0.750 0.548 0.060
Au: 0.250 0.452 0.940
Au: 0.750 0.648 0.722
Au: 0.750 0.048 0.440
Ge: 0.250 0.079 0.355
Ge: 0.250 0.579 0.145
Ge: 0.750 0.921 0.645
Ge: 0.750 0.421 0.855
Cs: 0.250 0.358 0.612
Cs: 0.250 0.858 0.888
Cs: 0.750 0.142 0.112
Cs: 0.750 0.642 0.388

Results
- N(E_F) (states/eV/cell) = 4.6
- space group = No. 62


Model b:
A geometry-optimized CsGeAu2 structure, computed with GGA-PBE.

Cell: 5.389 5.389 5.389 Å, 60.00 60.00 60.00°
Site moments in Bohr magnetons follow the coordinates.
Element x y z (fractional)
Cs: 0.500 0.500 0.500  0.03
Au: 0.250 0.250 0.250  0.03
Au: 0.750 0.750 0.750  0.03
Ge: 0.000 0.000 0.000  0.16

Results
- N(E_F) (states/eV/cell) = 3.6
- space group = No. 225


Model c:
A geometry-optimized CsGeAu2 structure, computed with GGA-PBE.

Cell: 4.669 4.669 7.150 Å, 70.94 70.94 60.00°
Element x y z (fractional)
Cs: 0.000 0.000 0.000
Au: 0.811 0.811 0.568
Au: 0.189 0.189 0.432
Ge: 0.500 0.500 0.500

Results
- N(E_F) (states/eV/cell) = 0.3
- space group = No. 166


It is model a that is the most stable of them.


Model a:
A geometry-optimized CsGeAu3 structure, computed with GGA-PBE.

Cell: 5.950 5.950 5.950 Å, 90.00 90.00 90.00°
Element x y z (fractional)
Cs: 0.000 0.000 0.000
Au: 0.000 0.000 0.500
Au: 0.500 0.000 0.000
Au: 0.000 0.500 0.000
Ge: 0.500 0.500 0.500

Results
- N(E_F) (states/eV/cell) = 0.8
- space group = No. 221


Model b:
A geometry-optimized CsGeAu3 structure, computed with GGA-PBE.

Cell: 7.437 5.104 7.054 Å, 90.00 90.00 90.00°
Element x y z (fractional)
Au: 0.462 0.113 0.799
Au: 0.667 0.708 0.594
Au: 0.167 0.645 0.505
Au: 0.167 0.645 0.094
Au: 0.667 0.708 0.005
Au: 0.962 0.240 0.299
Cs: 0.460 0.187 0.299
Cs: 0.960 0.166 0.799
Ge: 0.364 0.592 0.799
Ge: 0.864 0.761 0.299

Results
- N(E_F) (states/eV/cell) = 0.5
- space group = No. 31


It is model b that is the most stable of them.


Model a:
A geometry-optimized CsGeAu3 structure, computed with GGA-PBE.

Cell: 4.369 7.507 8.537 Å, 96.93 90.00 106.92°
Element x y z (fractional)
Cs: 0.870 0.740 0.001
Cs: 0.130 0.260 0.999
Ge: 0.510 0.019 0.336
Ge: 0.490 0.981 0.664
Au: 0.906 0.811 0.559
Au: 0.670 0.341 0.671
Au: 0.094 0.189 0.441
Au: 0.330 0.659 0.329
Au: 0.708 0.417 0.343
Au: 0.292 0.583 0.657

Results
- N(E_F) (states/eV/cell) = 3.8
- space group = No. 12


Model b:
A geometry-optimized CsGeAu3 structure, computed with GGA-PBE.

Cell: 5.171 5.171 5.171 Å, 90.00 90.00 90.00°
Element x y z (fractional)
Au: 0.000 0.500 0.000
Au: 0.000 0.000 0.500
Au: 0.500 0.000 0.000
Ge: 0.000 0.000 0.000
Cs: 0.500 0.500 0.500

Results
- N(E_F) (states/eV/cell) = 0.5
- space group = No. 221


It is model b that is the most stable of them.


Model a:
A geometry-optimized CsGe3Au structure, computed with GGA-PBE.

Cell: 5.715 5.715 5.715 Å, 90.00 90.00 90.00°
Element x y z (fractional)
Ge: 0.000 0.500 0.000
Ge: 0.000 0.000 0.500
Ge: 0.500 0.000 0.000
Cs: 0.000 0.000 0.000
Au: 0.500 0.500 0.500

Results
- N(E_F) (states/eV/cell) = 2.5
- space group = No. 221


Model b:
A geometry-optimized CsGe3Au structure, computed with GGA-PBE.

Cell: 5.315 5.315 5.315 Å, 90.00 90.00 90.00°
Element x y z (fractional)
Au: 0.000 0.000 0.000
Cs: 0.500 0.500 0.500
Ge: 0.000 0.000 0.500
Ge: 0.500 0.000 0.000
Ge: 0.000 0.500 0.000

Results
- N(E_F) (states/eV/cell) = 5.6
- space group = No. 221


It is model b that is the most stable of them.


Model a:
A geometry-optimized Cs2Ge4Au5 structure, computed with GGA-PBE.

Cell: 7.395 6.562 8.964 Å, 72.08 65.64 55.70°
Element x y z (fractional)
Ge: 0.607 0.965 0.821
Ge: 0.850 0.491 0.808
Ge: 0.150 0.509 0.192
Ge: 0.393 0.035 0.179
Au: 0.622 0.273 0.934
Au: 0.378 0.727 0.066
Au: 0.172 0.273 0.934
Au: 0.000 0.500 0.500
Au: 0.828 0.727 0.066
Cs: 0.741 0.183 0.335
Cs: 0.259 0.817 0.665

Results
- N(E_F) (states/eV/cell) = 3.0
- space group = No. 12


Model b:
A geometry-optimized Cs2Ge4Au5 structure, computed with GGA-PBE.

Cell: 7.123 7.668 7.144 Å, 76.61 60.09 62.33°
Element x y z (fractional)
Ge: 0.221 0.321 0.238
Ge: 0.458 0.321 0.762
Ge: 0.542 0.679 0.238
Ge: 0.779 0.679 0.762
Cs: 0.149 0.000 0.703
Cs: 0.851 0.000 0.297
Au: 0.250 0.500 0.500
Au: 0.000 0.500 0.000
Au: 0.750 0.500 0.500
Au: 0.500 0.000 0.000
Au: 0.500 0.500 0.000

Results
- N(E_F) (states/eV/cell) = 3.6
- space group = No. 69


It is model b that is the most stable of them.


Model a:
A geometry-optimized Cs3HAu structure, computed with GGA-PBE.

Cell: 8.032 8.479 8.363 Å, 90.00 69.45 90.00°
Element x y z (fractional)
Cs: 0.143 0.750 0.432
Cs: 0.857 0.250 0.568
Cs: 0.651 0.001 0.154
Cs: 0.349 0.999 0.846
Cs: 0.651 0.499 0.154
Cs: 0.349 0.501 0.846
Au: 0.345 0.250 0.486
Au: 0.655 0.750 0.514
H: 0.581 0.250 0.913
H: 0.419 0.750 0.087

Results
- N(E_F) (states/eV/cell) = 5.4
- space group = No. 11


Model b:
A geometry-optimized Cs3HAu structure, computed with GGA-PBE.

Cell: 8.064 8.525 8.525 Å, 120.00 90.00 90.00°
Element x y z (fractional)
Cs: 0.500 0.000 0.706
Cs: 0.500 0.294 0.294
Cs: 0.000 0.706 0.706
Cs: 0.500 0.706 0.000
Cs: 0.000 0.294 0.000
Cs: 0.000 0.000 0.294
Au: 0.250 0.667 0.333
Au: 0.750 0.333 0.667
H: 0.250 0.000 0.000
H: 0.750 0.000 0.000

Results
- N(E_F) (states/eV/cell) = 6.2
- space group = No. 182


It is model b that is the most stable of them.


Model a:
A geometry-optimized Cs6HAu2 structure, computed with GGA-PBE.

Cell: 8.549 8.691 14.806 Å, 90.09 90.00 90.00°
Element x y z (fractional)
Cs: 0.722 0.816 0.999
Cs: 0.278 0.184 0.001
Cs: 0.728 0.349 0.154
Cs: 0.772 0.849 0.654
Cs: 0.222 0.684 0.501
Cs: 0.723 0.349 0.844
Cs: 0.277 0.651 0.156
Cs: 0.223 0.151 0.656
Cs: 0.777 0.849 0.344
Cs: 0.778 0.316 0.499
Cs: 0.228 0.151 0.346
Cs: 0.272 0.651 0.846
Au: 0.999 0.501 0.679
Au: 0.501 0.001 0.179
Au: 0.001 0.499 0.321
Au: 0.499 0.999 0.821
H: 0.500 0.500 0.000
H: 0.000 0.000 0.500

Results
- N(E_F) (states/eV/cell) = 12.7
- space group = No. 14


Model b:
A geometry-optimized Cs6HAu2 structure, computed with GGA-PBE.

Cell: 4.899 9.281 13.555 Å, 76.99 79.59 74.70°
Element x y z (fractional)
H: 0.000 0.000 0.000
Cs: 0.999 0.793 0.210
Cs: 0.183 0.748 0.885
Cs: 0.001 0.207 0.790
Cs: 0.342 0.767 0.549
Cs: 0.658 0.233 0.451
Cs: 0.817 0.252 0.115
Au: 0.324 0.046 0.306
Au: 0.676 0.954 0.694

Results
- N(E_F) (states/eV/cell) = 6.1
- space group = No. 12


It is model a that is the most stable of them.